## 1
Material: InTcSb
Method: DFT, PBE
State: relaxed

Output
SG = No. 156

Unit cell a=3.3144 b=3.3144 c=6.6870 alpha=90.00 beta=90.00 gamma=120.00
Last column: nearest neighbours and their distance in Å.
Sites, in units of the cell vectors:
In (0.0000, 0.0000, 0.0000)  3 Tc 2.83
Tc (0.3333, 0.6667, 0.6884)  3 Sb 2.66, 3 In 2.83
Sb (0.6667, 0.3333, 0.4112)  3 Tc 2.66

=====

## 2
Material: InTcSb
Method: DFT, PBE
State: relaxed

Output
SG = No. 107

Unit cell a=6.3923 b=6.3923 c=6.3923 alpha=150.27 beta=150.27 gamma=42.55
Last column: nearest neighbours and their distance in Å.
Sites, in units of the cell vectors:
In (0.0000, 0.0000, 0.0000)  4 Tc 2.89, 1 Sb 3.21
Tc (0.3555, 0.3555, 0.0000)  4 Sb 2.76, 4 In 2.89
Sb (0.7306, 0.7306, 0.0000)  4 Tc 2.76

=====

## 3
Material: InTcSb
Method: DFT, PBE
State: relaxed

Output
SG = No. 187

Unit cell a=4.5503 b=4.5503 c=3.5432 alpha=90.00 beta=90.00 gamma=120.00
Last column: nearest neighbours and their distance in Å.
Sites, in units of the cell vectors:
In (0.0000, 0.0000, 0.0000)  6 Tc 3.17, 6 Sb 3.17, 2 In 3.54
Tc (0.6667, 0.3333, 0.5000)  3 Sb 2.63
Sb (0.3333, 0.6667, 0.5000)  3 Tc 2.63

=====

Stability, descending: 1, 2, 3

=====

## 1
Material: InTc2Sb2
Method: DFT, PBE
State: relaxed

Output
SG = No. 127

Unit cell a=7.6684 b=7.6684 c=3.2998 alpha=90.00 beta=90.00 gamma=90.00
Last column: nearest neighbours and their distance in Å.
Sites, in units of the cell vectors:
In (0.0000, 0.0000, 0.0000)  4 Tc 2.93
In (0.5000, 0.5000, 0.0000)  4 Tc 2.93
Tc (0.1471, 0.3529, 0.0000)  6 Sb 2.77-2.80, 2 In 2.93
Tc (0.3529, 0.8529, 0.0000)  6 Sb 2.77-2.80, 2 In 2.93
Tc (0.6471, 0.1471, 0.0000)  6 Sb 2.77-2.80, 2 In 2.93
Tc (0.8529, 0.6471, 0.0000)  6 Sb 2.77-2.80, 2 In 2.93
Sb (0.1481, 0.6481, 0.5000)  6 Tc 2.77-2.80
Sb (0.3519, 0.1481, 0.5000)  6 Tc 2.77-2.80
Sb (0.6481, 0.8519, 0.5000)  6 Tc 2.77-2.80
Sb (0.8519, 0.3519, 0.5000)  6 Tc 2.77-2.80

=====

## 2
Material: InTc2Sb2
Method: DFT, PBE
State: relaxed

Output
SG = No. 139

Unit cell a=6.6751 b=6.6751 c=6.6751 alpha=143.06 beta=143.06 gamma=53.24
Last column: nearest neighbours and their distance in Å.
Sites, in units of the cell vectors:
In (0.0000, 0.0000, 0.0000)  8 Tc 3.27, 8 Sb 3.66
Tc (0.3901, 0.3901, 0.0000)  1 Tc 2.62, 4 Sb 2.70
Tc (0.6099, 0.6099, 0.0000)  1 Tc 2.62, 4 Sb 2.70
Sb (0.2500, 0.7500, 0.5000)  4 Tc 2.70, 4 Sb 2.99
Sb (0.7500, 0.2500, 0.5000)  4 Tc 2.70, 4 Sb 2.99

=====

Stability, descending: 1, 2

=====

## 1
Material: InTcSb3
Method: DFT, PBE
State: relaxed

Output
SG = No. 221

Unit cell a=5.5258 b=5.5258 c=5.5258 alpha=90.00 beta=90.00 gamma=90.00
Last column: nearest neighbours and their distance in Å.
Sites, in units of the cell vectors:
In (0.0000, 0.0000, 0.0000)  6 Sb 2.76
Tc (0.5000, 0.5000, 0.5000)  12 Sb 3.91
Sb (0.0000, 0.0000, 0.5000)  2 In 2.76
Sb (0.0000, 0.5000, 0.0000)  2 In 2.76
Sb (0.5000, 0.0000, 0.0000)  2 In 2.76

=====

## 2
Material: InTcSb3
Method: DFT, PBE
State: relaxed

Output
SG = No. 221

Unit cell a=5.2145 b=5.2145 c=5.2145 alpha=90.00 beta=90.00 gamma=90.00
Last column: nearest neighbours and their distance in Å.
Sites, in units of the cell vectors:
In (0.0000, 0.0000, 0.0000)  12 Sb 3.69
Tc (0.5000, 0.5000, 0.5000)  6 Sb 2.61
Sb (0.0000, 0.5000, 0.5000)  2 Tc 2.61
Sb (0.5000, 0.0000, 0.5000)  2 Tc 2.61
Sb (0.5000, 0.5000, 0.0000)  2 Tc 2.61

=====

Stability, descending: 2, 1

=====

## 1
Material: InTcSb2Te
Method: DFT, PBE
State: relaxed

Output
SG = No. 123

Unit cell a=5.0556 b=5.0556 c=5.8898 alpha=90.00 beta=90.00 gamma=90.00
Last column: nearest neighbours and their distance in Å.
Sites, in units of the cell vectors:
In (0.0000, 0.0000, 0.0000)  4 Te 3.57, 8 Sb 3.88
Tc (0.5000, 0.5000, 0.5000)  4 Sb 2.53
Sb (0.0000, 0.5000, 0.5000)  2 Tc 2.53
Sb (0.5000, 0.0000, 0.5000)  2 Tc 2.53
Te (0.5000, 0.5000, 0.0000)  2 Tc 2.94

=====

## 2
Material: InTcSb2Te
Method: DFT, PBE
State: relaxed

Output
SG = No. 123

Unit cell a=5.5406 b=5.5406 c=5.6274 alpha=90.00 beta=90.00 gamma=90.00
Last column: nearest neighbours and their distance in Å.
Sites, in units of the cell vectors:
In (0.0000, 0.0000, 0.0000)  4 Sb 2.77, 2 Te 2.81
Tc (0.5000, 0.5000, 0.5000)  4 Te 3.92, 8 Sb 3.95
Sb (0.0000, 0.5000, 0.0000)  2 In 2.77
Sb (0.5000, 0.0000, 0.0000)  2 In 2.77
Te (0.0000, 0.0000, 0.5000)  2 In 2.81

=====

Stability, descending: 1, 2

=====

## 1
Material: YIn2TcSb
Method: DFT, PBE
State: relaxed

Output
SG = No. 123

Unit cell a=5.2179 b=5.2179 c=5.2705 alpha=90.00 beta=90.00 gamma=90.00
Last column: nearest neighbours and their distance in Å.
Sites, in units of the cell vectors:
Y (0.0000, 0.0000, 0.0000)  2 Tc 2.64
In (0.0000, 0.5000, 0.5000)  2 Tc 2.61
In (0.5000, 0.0000, 0.5000)  2 Tc 2.61
Tc (0.0000, 0.0000, 0.5000)  4 In 2.61, 2 Y 2.64
Sb (0.5000, 0.5000, 0.0000)  4 Y 3.69, 8 In 3.71

=====

## 2
Material: YIn2TcSb
Method: DFT, PBE
State: relaxed

Output
SG = No. 123

Unit cell a=5.5185 b=5.5185 c=4.9498 alpha=90.00 beta=90.00 gamma=90.00
Last column: nearest neighbours and their distance in Å.
Sites, in units of the cell vectors:
Y (0.0000, 0.0000, 0.0000)  8 In 3.71, 4 Tc 3.90
In (0.0000, 0.5000, 0.5000)  2 Sb 2.76
In (0.5000, 0.0000, 0.5000)  2 Sb 2.76
Tc (0.5000, 0.5000, 0.0000)  2 Sb 2.47
Sb (0.5000, 0.5000, 0.5000)  2 Tc 2.47, 4 In 2.76

=====

Stability, descending: 1, 2

=====

## 1
Material: In3SbTe2
Method: DFT, PBE
State: relaxed

Output
SG = No. 164

Unit cell a=4.3927 b=4.3927 c=10.8041 alpha=90.00 beta=90.00 gamma=120.00
Last column: nearest neighbours and their distance in Å.
Sites, in units of the cell vectors:
In (0.0000, 0.0000, 0.0000)  6 Te 3.12
In (0.3333, 0.6667, 0.6544)  3 Sb 3.04, 3 Te 3.18
In (0.6667, 0.3333, 0.3456)  3 Sb 3.04, 3 Te 3.18
Sb (0.0000, 0.0000, 0.5000)  6 In 3.04
Te (0.3333, 0.6667, 0.1684)  6 In 3.12-3.18
Te (0.6667, 0.3333, 0.8316)  6 In 3.12-3.18

=====

## 2
Material: In3SbTe2
Method: DFT, PBE
State: relaxed

Output
SG = No. 71

Unit cell a=7.6161 b=7.6161 c=7.6161 alpha=146.41 beta=131.93 gamma=59.92
Last column: nearest neighbours and their distance in Å.
Sites, in units of the cell vectors:
In (0.0000, 0.0000, 0.0000)  2 Sb 3.10, 4 Te 3.16
In (0.3410, 0.3410, 0.0000)  2 Sb 3.04, 4 Te 3.11-3.13
In (0.6590, 0.6590, 0.0000)  2 Sb 3.04, 4 Te 3.11-3.13
Sb (0.5000, 0.0000, 0.5000)  6 In 3.04-3.10
Te (0.1719, 0.6719, 0.5000)  6 In 3.11-3.16
Te (0.8281, 0.3281, 0.5000)  6 In 3.11-3.16

=====

Stability, descending: 2, 1

=====

## 1
Material: TiInSbTe2
Method: DFT, PBE
State: relaxed

Output
SG = No. 123

Unit cell a=5.3838 b=5.3838 c=5.3774 alpha=90.00 beta=90.00 gamma=90.00
Last column: nearest neighbours and their distance in Å.
Sites, in units of the cell vectors:
Ti (0.0000, 0.0000, 0.0000)  2 Sb 2.69, 4 Te 2.69
In (0.5000, 0.5000, 0.5000)  8 Te 3.80, 4 Sb 3.81
Sb (0.0000, 0.0000, 0.5000)  2 Ti 2.69
Te (0.0000, 0.5000, 0.0000)  2 Ti 2.69
Te (0.5000, 0.0000, 0.0000)  2 Ti 2.69

=====

## 2
Material: TiInSbTe2
Method: DFT, PBE
State: relaxed

Output
SG = No. 123

Unit cell a=5.6660 b=5.6660 c=5.4648 alpha=90.00 beta=90.00 gamma=90.00
Last column: nearest neighbours and their distance in Å.
Sites, in units of the cell vectors:
Ti (0.0000, 0.0000, 0.0000)  8 Te 3.94, 4 Sb 4.01
In (0.5000, 0.5000, 0.5000)  2 Sb 2.73, 4 Te 2.83
Sb (0.5000, 0.5000, 0.0000)  2 In 2.73
Te (0.0000, 0.5000, 0.5000)  2 In 2.83
Te (0.5000, 0.0000, 0.5000)  2 In 2.83

=====

Stability, descending: 1, 2

=====

## 1
Material: TlInSbTe2
Method: DFT, PBE
State: relaxed

Output
SG = No. 123

Unit cell a=5.8153 b=5.8153 c=5.6164 alpha=90.00 beta=90.00 gamma=90.00
Last column: nearest neighbours and their distance in Å.
Sites, in units of the cell vectors:
Tl (0.0000, 0.0000, 0.0000)  8 Te 4.04, 4 Sb 4.11
In (0.5000, 0.5000, 0.5000)  2 Sb 2.81, 4 Te 2.91
Sb (0.5000, 0.5000, 0.0000)  2 In 2.81
Te (0.0000, 0.5000, 0.5000)  2 In 2.91
Te (0.5000, 0.0000, 0.5000)  2 In 2.91

=====

## 2
Material: TlInSbTe2
Method: DFT, PBE
State: relaxed

Output
SG = No. 123

Unit cell a=5.8922 b=5.8922 c=5.6898 alpha=90.00 beta=90.00 gamma=90.00
Last column: nearest neighbours and their distance in Å.
Sites, in units of the cell vectors:
Tl (0.0000, 0.0000, 0.0000)  2 Sb 2.84, 4 Te 2.95
In (0.5000, 0.5000, 0.5000)  8 Te 4.10, 4 Sb 4.17
Sb (0.0000, 0.0000, 0.5000)  2 Tl 2.84
Te (0.0000, 0.5000, 0.0000)  2 Tl 2.95
Te (0.5000, 0.0000, 0.0000)  2 Tl 2.95

=====

Stability, descending: 1, 2

=====

## 1
Material: VInSbTe2
Method: DFT, PBE
State: relaxed

Output
SG = No. 123

Unit cell a=5.6719 b=5.6719 c=5.4842 alpha=90.00 beta=90.00 gamma=90.00
Last column: nearest neighbours and their distance in Å.
Sites, in units of the cell vectors:
V (0.0000, 0.0000, 0.0000)  8 Te 3.94, 4 Sb 4.01
In (0.5000, 0.5000, 0.5000)  2 Sb 2.74, 4 Te 2.84
Sb (0.5000, 0.5000, 0.0000)  2 In 2.74
Te (0.0000, 0.5000, 0.5000)  2 In 2.84
Te (0.5000, 0.0000, 0.5000)  2 In 2.84

=====

## 2
Material: VInSbTe2
Method: DFT, PBE
State: relaxed

Output
SG = No. 123

Unit cell a=5.2927 b=5.2927 c=5.2356 alpha=90.00 beta=90.00 gamma=90.00
Last column: nearest neighbours and their distance in Å.
Sites, in units of the cell vectors:
V (0.0000, 0.0000, 0.0000)  2 Sb 2.62, 4 Te 2.65
In (0.5000, 0.5000, 0.5000)  8 Te 3.72, 4 Sb 3.74
Sb (0.0000, 0.0000, 0.5000)  2 V 2.62
Te (0.0000, 0.5000, 0.0000)  2 V 2.65
Te (0.5000, 0.0000, 0.0000)  2 V 2.65

=====

Stability, descending: 2, 1

=====

## 1
Material: InSbTe2W
Method: DFT, PBE
State: relaxed

Output
SG = No. 123

Unit cell a=5.5812 b=5.5812 c=5.4710 alpha=90.00 beta=90.00 gamma=90.00
Last column: nearest neighbours and their distance in Å.
Sites, in units of the cell vectors:
In (0.0000, 0.0000, 0.0000)  2 Sb 2.74, 4 Te 2.79
Sb (0.0000, 0.0000, 0.5000)  2 In 2.74
Te (0.0000, 0.5000, 0.0000)  2 In 2.79
Te (0.5000, 0.0000, 0.0000)  2 In 2.79
W (0.5000, 0.5000, 0.5000)  8 Te 3.91, 4 Sb 3.95

=====

## 2
Material: InSbTe2W
Method: DFT, PBE
State: relaxed

Output
SG = No. 123

Unit cell a=5.4050 b=5.4050 c=5.2996 alpha=90.00 beta=90.00 gamma=90.00
Last column: nearest neighbours and their distance in Å.
Sites, in units of the cell vectors:
In (0.0000, 0.0000, 0.0000)  8 Te 3.78, 4 Sb 3.82
Sb (0.5000, 0.5000, 0.0000)  2 W 2.65
Te (0.0000, 0.5000, 0.5000)  2 W 2.70
Te (0.5000, 0.0000, 0.5000)  2 W 2.70
W (0.5000, 0.5000, 0.5000)  2 Sb 2.65, 4 Te 2.70

=====

Stability, descending: 2, 1

=====

## 1
Material: ZnInSb2Te
Method: DFT, PBE
State: relaxed

Output
SG = No. 123

Unit cell a=5.6748 b=5.6748 c=5.7152 alpha=90.00 beta=90.00 gamma=90.00
Last column: nearest neighbours and their distance in Å.
Sites, in units of the cell vectors:
Zn (0.0000, 0.0000, 0.0000)  4 Te 4.01, 8 Sb 4.03
In (0.5000, 0.5000, 0.5000)  4 Sb 2.84, 2 Te 2.86
Sb (0.0000, 0.5000, 0.5000)  2 In 2.84
Sb (0.5000, 0.0000, 0.5000)  2 In 2.84
Te (0.5000, 0.5000, 0.0000)  2 In 2.86

=====

## 2
Material: ZnInSb2Te
Method: DFT, PBE
State: relaxed

Output
SG = No. 123

Unit cell a=5.2223 b=5.2223 c=5.6321 alpha=90.00 beta=90.00 gamma=90.00
Last column: nearest neighbours and their distance in Å.
Sites, in units of the cell vectors:
Zn (0.0000, 0.0000, 0.0000)  4 Sb 2.61, 2 Te 2.82
In (0.5000, 0.5000, 0.5000)  4 Te 3.69, 8 Sb 3.84
Sb (0.0000, 0.5000, 0.0000)  2 Zn 2.61
Sb (0.5000, 0.0000, 0.0000)  2 Zn 2.61
Te (0.0000, 0.0000, 0.5000)  2 Zn 2.82

=====

Stability, descending: 2, 1

=====

## 1
Material: ThIn2Sb
Method: DFT, PBE
State: relaxed

Output
SG = No. 123

Unit cell a=4.6355 b=4.6355 c=5.0011 alpha=90.00 beta=90.00 gamma=90.00
Last column: nearest neighbours and their distance in Å.
Sites, in units of the cell vectors:
Th (0.0000, 0.0000, 0.0000)  4 Sb 3.28, 8 In 3.41
In (0.0000, 0.5000, 0.5000)  4 In 3.28, 4 Th 3.41, 4 Sb 3.41
In (0.5000, 0.0000, 0.5000)  4 In 3.28, 4 Th 3.41, 4 Sb 3.41
Sb (0.5000, 0.5000, 0.0000)  4 Th 3.28, 8 In 3.41

=====

## 2
Material: ThIn2Sb
Method: DFT, PBE
State: relaxed

Output
SG = No. 166

Unit cell a=12.3809 b=12.3809 c=12.3809 alpha=15.62 beta=15.62 gamma=15.62
Last column: nearest neighbours and their distance in Å.
Sites, in units of the cell vectors:
Th (0.0000, 0.0000, 0.0000)  2 In 3.32, 6 Th 3.36
In (0.0904, 0.0904, 0.0904)  1 Th 3.32, 6 In 3.36, 3 Sb 3.41
In (0.9096, 0.9096, 0.9096)  1 Th 3.32, 6 In 3.36, 3 Sb 3.41
Sb (0.5000, 0.5000, 0.5000)  6 Sb 3.36, 6 In 3.41

=====

Stability, descending: 1, 2